The following is a PBE calculation of crystalline LiAcTlCd at its relaxed geometry, from the Alexandria database.

Summary:
As for the total magnetic moment: 0.00 μB/atom. The electronic total energy comes out at -41.58 eV/cell.

a b c (Å): 7.7221 7.7221 7.7221
angles (deg): 90.00 90.00 90.00
Closest atoms and distances in Å follow each position.
Space group F-43m (No. 216)
Inequivalent atoms, fractional coordinates:
Li1 0.0000 0.0000 0.0000 [4 per cell]  4 Cd 3.34, 4 Tl 3.34
Ac1 0.0000 0.0000 0.5000 [4 per cell]  4 Cd 3.34, 4 Tl 3.34
Tl1 0.2500 0.2500 0.7500 [4 per cell]  4 Ac 3.34, 4 Li 3.34
Cd1 0.2500 0.2500 0.2500 [4 per cell]  4 Ac 3.34, 4 Li 3.34